DFT (PBE with a Hubbard U) results for a relaxed structure of MgNiO2F.

The crystal system is tetragonal. The value obtained for the total energy is -4.54 eV/atom.

It has space group P4/mmm (No. 123), with a = 3.7646 Å, b = 3.7646 Å, c = 3.8115 Å, α = 90.00°, β = 90.00° and γ = 90.00°. The distinct sites, in fractional coordinates, are Mg at (0.0000, 0.0000, 0.0000), Ni at (0.5000, 0.5000, 0.5000), O at (0.0000, 0.5000, 0.5000) and F at (0.5000, 0.5000, 0.0000).